No. 1
Material: ZrZnAu2
Method: DFT, PBE
State: relaxed

```
data_ZrZnAu2
_chemical_formula_sum 'Zr1 Zn1 Au2'
_symmetry_space_group_name_H-M 'P m m m'
_symmetry_Int_Tables_number 47
_cell_length_a 3.017
_cell_length_b 3.372
_cell_length_c 7.111
_cell_angle_alpha 90.00
_cell_angle_beta 90.00
_cell_angle_gamma 90.00
loop_
_symmetry_equiv_pos_as_xyz
'x,y,z'
'-x,-y,-z'
'-x,-y,z'
'x,y,-z'
'x,-y,-z'
'-x,y,z'
'-x,y,-z'
'x,-y,z'
loop_
_atom_site_label
_atom_site_fract_x
_atom_site_fract_y
_atom_site_fract_z
Zr1 0.000 0.000 0.000
Zn1 0.000 0.000 0.500
Au1 0.500 0.500 0.273
```

Computed properties:
E   -18.0 eV/cell
Energy of formation from the pure elements   -0.41 eV/atom


No. 2
Material: Zr2ZnAu2
Method: DFT, PBE
State: relaxed

```
data_Zr2ZnAu2
_chemical_formula_sum 'Zr4 Zn2 Au4'
_symmetry_space_group_name_H-M 'P 4/m b m'
_symmetry_Int_Tables_number 127
_symmetry_space_group_name_Hall '-P 4 2ab'
_cell_length_a 7.399
_cell_length_b 7.399
_cell_length_c 3.682
_cell_angle_alpha 90.00
_cell_angle_beta 90.00
_cell_angle_gamma 90.00
loop_
_atom_site_label
_atom_site_fract_x
_atom_site_fract_y
_atom_site_fract_z
Zr1 0.171 0.329 0.000
Zn1 0.000 0.000 0.500
Au1 0.133 0.633 0.500
```

Computed properties:
E   -53.7 eV/cell
Energy of formation from the pure elements   -0.39 eV/atom
ΔE to the lowest computed polymorph   0 meV per atom


No. 3
Material: Zr2Zn2Au
Method: DFT, PBE
State: relaxed

```
data_Zr2Zn2Au
_chemical_formula_sum 'Zr4 Zn4 Au2'
_symmetry_space_group_name_H-M 'P 4/m b m'
_symmetry_Int_Tables_number 127
_symmetry_space_group_name_Hall '-P 4 2ab'
_cell_length_a 6.779
_cell_length_b 6.779
_cell_length_c 4.020
_cell_angle_alpha 90.00
_cell_angle_beta 90.00
_cell_angle_gamma 90.00
loop_
_atom_site_label
_atom_site_fract_x
_atom_site_fract_y
_atom_site_fract_z
Zr1 0.170 0.330 0.000
Zn1 0.130 0.630 0.500
Au1 0.000 0.000 0.500
```

Computed properties:
E   -49.6 eV/cell
Energy of formation from the pure elements   -0.38 eV/atom
ΔE to the lowest computed polymorph   0 meV per atom


No. 4
Material: Zr2ZnAu
Method: DFT, PBE
State: relaxed

```
data_Zr2ZnAu
_chemical_formula_sum 'Zr4 Zn2 Au2'
_symmetry_space_group_name_H-M 'I m m 2'
_symmetry_Int_Tables_number 44
_cell_length_a 3.353
_cell_length_b 4.729
_cell_length_c 9.931
_cell_angle_alpha 90.00
_cell_angle_beta 90.00
_cell_angle_gamma 90.00
loop_
_symmetry_equiv_pos_as_xyz
'x,y,z'
'-x,-y,z'
'-x,y,z'
'x,-y,z'
'x+1/2,y+1/2,z+1/2'
'-x+1/2,-y+1/2,z+1/2'
'-x+1/2,y+1/2,z+1/2'
'x+1/2,-y+1/2,z+1/2'
loop_
_atom_site_label
_atom_site_fract_x
_atom_site_fract_y
_atom_site_fract_z
Zr1 0.000 0.000 0.000
Zr2 0.000 0.500 0.237
Zn1 0.000 0.000 0.471
Au1 0.000 0.500 0.757
```

Computed properties:
E   -45.8 eV/cell
Energy of formation from the pure elements   -0.31 eV/atom


No. 5
Material: Zr2Zn4Au3
Method: DFT, PBE
State: relaxed

```
data_Zr2Zn4Au3
_chemical_formula_sum 'Zr8 Zn16 Au12'
_symmetry_space_group_name_H-M 'C m c e'
_symmetry_Int_Tables_number 64
_symmetry_space_group_name_Hall '-C 2ac 2'
_cell_length_a 5.632
_cell_length_b 15.296
_cell_length_c 7.493
_cell_angle_alpha 90.00
_cell_angle_beta 90.00
_cell_angle_gamma 90.00
loop_
_atom_site_label
_atom_site_fract_x
_atom_site_fract_y
_atom_site_fract_z
Zr1 0.000 0.096 0.108
Zn1 0.000 0.169 0.484
Zn2 0.250 0.068 0.750
Au1 0.000 0.000 0.500
Au2 0.250 0.242 0.750
```

Computed properties:
E   -138.6 eV/cell
Energy of formation from the pure elements   -0.29 eV/atom


No. 6
Material: ZrZnAu3
Method: DFT, PBE
State: relaxed

```
data_ZrZnAu3
_chemical_formula_sum 'Zr1 Zn1 Au3'
_symmetry_space_group_name_H-M 'P m -3 m'
_symmetry_Int_Tables_number 221
_symmetry_space_group_name_Hall '-P 4 2 3'
_cell_length_a 4.745
_cell_length_b 4.745
_cell_length_c 4.745
_cell_angle_alpha 90.00
_cell_angle_beta 90.00
_cell_angle_gamma 90.00
loop_
_atom_site_label
_atom_site_fract_x
_atom_site_fract_y
_atom_site_fract_z
Zr1 0.000 0.000 0.000
Zn1 0.500 0.500 0.500
Au1 0.000 0.500 0.500
```

Computed properties:
E   -18.3 eV/cell
Energy of formation from the pure elements   0.28 eV/atom
ΔE to the lowest computed polymorph   627 meV per atom


No. 7
Material: ZrZnAu2
Method: DFT, PBE
State: relaxed

```
data_ZrZnAu2
_chemical_formula_sum 'Zr2 Zn2 Au4'
_symmetry_space_group_name_H-M 'I -4 m 2'
_symmetry_Int_Tables_number 119
_symmetry_space_group_name_Hall 'I -4 -2'
_cell_length_a 4.584
_cell_length_b 4.584
_cell_length_c 6.831
_cell_angle_alpha 90.00
_cell_angle_beta 90.00
_cell_angle_gamma 90.00
loop_
_atom_site_label
_atom_site_fract_x
_atom_site_fract_y
_atom_site_fract_z
Zr1 0.000 0.000 0.000
Zn1 0.000 0.500 0.750
Au1 0.000 0.000 0.500
Au2 0.000 0.500 0.250
```

Computed properties:
E   -35.9 eV/cell
Energy of formation from the pure elements   -0.40 eV/atom


No. 8
Material: ZrZnAu2
Method: DFT, PBE
State: relaxed

```
data_ZrZnAu2
_chemical_formula_sum 'Zr1 Zn1 Au2'
_symmetry_space_group_name_H-M 'P 4 m m'
_symmetry_Int_Tables_number 99
_cell_length_a 3.424
_cell_length_b 3.424
_cell_length_c 6.278
_cell_angle_alpha 90.00
_cell_angle_beta 90.00
_cell_angle_gamma 90.00
loop_
_symmetry_equiv_pos_as_xyz
'x,y,z'
'-y,x,z'
'-x,-y,z'
'y,-x,z'
'-x,y,z'
'y,x,z'
'x,-y,z'
'-y,-x,z'
loop_
_atom_site_label
_atom_site_fract_x
_atom_site_fract_y
_atom_site_fract_z
Zr1 0.000 0.000 0.000
Zn1 0.500 0.500 0.721
Au1 0.000 0.000 0.521
Au2 0.500 0.500 0.248
```

Computed properties:
E   -17.7 eV/cell
Energy of formation from the pure elements   -0.32 eV/atom